(1)
## ThMnNb (PBE)

Data for crystalline ThMnNb at its relaxed geometry.

Unit cell a=3.211 b=3.211 c=6.289 alpha=104.79 beta=104.79 gamma=90.00
Positions (direct):
Mn  0.694  0.694  0.388
Th  0.010  0.010  0.020
Nb  0.296  0.296  0.592

ΔH_f (0 K)	0.233	eV/atom
E above lowest polymorph	0.1302	eV/atom
total energy	-8.653	eV per atom
spin magnetization	0.00	μB/cell
space-group type	I4mm (107)



(2)
## Ca2PdAu2 (PBE)

Data for crystalline Ca2PdAu2 at its relaxed geometry.

Unit cell a=4.268 b=5.841 c=10.401 alpha=81.10 beta=78.16 gamma=68.57
Positions (direct):
Pd  0.800  0.080  0.320
Pd  0.200  0.920  0.680
Au  0.858  0.724  0.560
Au  0.142  0.276  0.440
Au  0.959  0.187  0.894
Au  0.041  0.813  0.106
Ca  0.690  0.741  0.880
Ca  0.310  0.259  0.120
Ca  0.510  0.321  0.659
Ca  0.490  0.679  0.341

ΔH_f (0 K)	-0.719	eV/atom
E above lowest polymorph	0.0000	eV/atom
total energy	-3.869	eV per atom
spin magnetization	0.00	μB/cell
space-group type	C2/m (12)



(3)
## CaCu2Bi2 (PBE)

Data for crystalline CaCu2Bi2 at its relaxed geometry.

Unit cell a=8.252 b=8.252 c=3.488 alpha=90.00 beta=90.00 gamma=90.00
Positions (direct):
Cu  0.864  0.364  0.500
Cu  0.136  0.636  0.500
Cu  0.364  0.136  0.500
Cu  0.636  0.864  0.500
Ca  0.000  0.000  0.000
Ca  0.500  0.500  0.000
Bi  0.345  0.845  0.000
Bi  0.655  0.155  0.000
Bi  0.155  0.345  0.000
Bi  0.845  0.655  0.000

ΔH_f (0 K)	0.046	eV/atom
E above lowest polymorph	0.1760	eV/atom
total energy	-3.545	eV per atom
spin magnetization	0.00	μB/cell
space-group type	P4/mbm (127)



(4)
## La4InTe2I (PBE)

Data for crystalline La4InTe2I at its relaxed geometry.

Unit cell a=4.558 b=8.028 c=7.993 alpha=71.17 beta=90.00 gamma=90.00
Positions (direct):
In  0.500  0.500  0.000
La  0.000  0.248  0.244
La  0.000  0.752  0.756
La  0.500  0.243  0.763
La  0.500  0.757  0.237
I  0.000  0.500  0.500
Te  0.000  0.000  0.000
Te  0.500  0.000  0.500

formation energy without anion corrections	-1.163	eV/atom
total energy	-4.948	eV per atom
spin magnetization	0.00	μB/cell
space-group type	P2/m (10)



Copy entry 4 word for word.
## La4InTe2I (PBE)

Data for crystalline La4InTe2I at its relaxed geometry.

Unit cell a=4.558 b=8.028 c=7.993 alpha=71.17 beta=90.00 gamma=90.00
Positions (direct):
In  0.500  0.500  0.000
La  0.000  0.248  0.244
La  0.000  0.752  0.756
La  0.500  0.243  0.763
La  0.500  0.757  0.237
I  0.000  0.500  0.500
Te  0.000  0.000  0.000
Te  0.500  0.000  0.500

formation energy without anion corrections	-1.163	eV/atom
total energy	-4.948	eV per atom
spin magnetization	0.00	μB/cell
space-group type	P2/m (10)



Copy entry 4 word for word.
## La4InTe2I (PBE)

Data for crystalline La4InTe2I at its relaxed geometry.

Unit cell a=4.558 b=8.028 c=7.993 alpha=71.17 beta=90.00 gamma=90.00
Positions (direct):
In  0.500  0.500  0.000
La  0.000  0.248  0.244
La  0.000  0.752  0.756
La  0.500  0.243  0.763
La  0.500  0.757  0.237
I  0.000  0.500  0.500
Te  0.000  0.000  0.000
Te  0.500  0.000  0.500

formation energy without anion corrections	-1.163	eV/atom
total energy	-4.948	eV per atom
spin magnetization	0.00	μB/cell
space-group type	P2/m (10)



Q: Which formula does entry 3 have?
A: CaCu2Bi2